# NpAlCo2O8 (GGA+U, optimized geometry)
data_NpAlCo2O8
_chemical_formula_sum 'Np2 Al2 Co4 O16'
_cell_length_a 6.4331
_cell_length_b 6.4331
_cell_length_c 6.7672
_cell_angle_alpha 90.00
_cell_angle_beta 90.00
_cell_angle_gamma 90.00
_symmetry_space_group_name_H-M 'I -4 m 2'
_symmetry_Int_Tables_number 119
_symmetry_space_group_name_Hall 'I -4 -2'
loop_
_atom_site_label
_atom_site_fract_x
_atom_site_fract_y
_atom_site_fract_z
Np1 0.0000 0.0000 0.0000
Al1 0.0000 0.5000 0.2500
Co1 0.0000 0.0000 0.5000
Co2 0.0000 0.5000 0.7500
O1 0.0000 0.2101 0.3192
O2 0.0000 0.2987 0.9535
# Uncorrected energy   -7.216 eV per atom